--- one ---
Here is Mn2ReAg after structural relaxation from Alexandria via LeMat-Bulk. Energies are from GGA-PBE.

a b c (Å): 3.204 4.368 8.471
angles (deg): 90.00 90.00 90.00
Space group Cmmm (No. 65)
Inequivalent atoms, fractional coordinates:
Mn 0.000 0.000 0.234
Re 0.000 0.500 0.000
Ag 0.000 0.500 0.500


--- two ---
Here is Mn2ReAg after structural relaxation from Alexandria via LeMat-Bulk. Energies are from GGA-PBE.

a b c (Å): 2.990 4.406 8.829
angles (deg): 90.00 90.00 90.00
Space group Cmm2 (No. 35)
Inequivalent atoms, fractional coordinates:
Mn 0.000 0.000 0.000
Mn 0.000 0.500 0.226
Re 0.000 0.500 0.777
Ag 0.000 0.000 0.491


--- three ---
Here is Mn2ReAg after structural relaxation from Alexandria via LeMat-Bulk. Energies are from GGA-PBE.

a b c (Å): 8.760 2.675 5.111
angles (deg): 90.00 96.19 90.00
Space group C2/m (No. 12)
Inequivalent atoms, fractional coordinates:
Mn 0.249 0.000 0.226
Re 0.000 0.500 0.000
Ag 0.000 0.000 0.500


--- four ---
Here is Mn2ReAg after structural relaxation from Alexandria via LeMat-Bulk. Energies are from GGA-PBE.

a b c (Å): 2.827 2.846 7.413
angles (deg): 90.00 90.09 90.00
Space group P2/m (No. 10)
Inequivalent atoms, fractional coordinates:
Mn 0.000 0.000 0.226
Re 0.500 0.500 0.000
Ag 0.500 0.500 0.500


List of relative energies, unit meV per atom: one 45; two 136; three 196; four 0


--- one ---
Here is MnAg2Rh after structural relaxation from Alexandria via LeMat-Bulk. Energies are from GGA-PBE.

a b c (Å): 6.395 6.395 6.395
angles (deg): 90.00 90.00 90.00
Space group Fm-3m (No. 225)
Inequivalent atoms, fractional coordinates:
Mn 0.000 0.000 0.000
Ag 0.250 0.250 0.250
Rh 0.000 0.000 0.500


--- two ---
Here is MnAg2Rh after structural relaxation from Alexandria via LeMat-Bulk. Energies are from GGA-PBE.

a b c (Å): 7.339 7.339 5.297
angles (deg): 90.00 90.00 90.00
Space group I-42d (No. 122)
Inequivalent atoms, fractional coordinates:
Mn 0.000 0.000 0.000
Ag 0.246 0.250 0.125
Rh 0.000 0.000 0.500


List of relative energies, unit meV per atom: one 0; two 278


--- one ---
Here is MnAg2Rh after structural relaxation from Alexandria via LeMat-Bulk. Energies are from GGA-PBE.

a b c (Å): 3.878 3.878 8.525
angles (deg): 90.00 90.00 90.00
Space group I4/mmm (No. 139)
Inequivalent atoms, fractional coordinates:
Mn 0.000 0.000 0.000
Ag 0.000 0.500 0.250
Rh 0.000 0.000 0.500


--- two ---
Here is MnAg2Rh after structural relaxation from Alexandria via LeMat-Bulk. Energies are from GGA-PBE.

a b c (Å): 3.055 3.402 6.205
angles (deg): 90.00 90.00 90.00
Space group Pmm2 (No. 25)
Inequivalent atoms, fractional coordinates:
Mn 0.000 0.000 0.000
Ag 0.000 0.000 0.464
Ag 0.500 0.500 0.732
Rh 0.500 0.500 0.190


List of relative energies, unit meV per atom: one 56; two 0